No. 1
Computed, not measured: Pr4TlIn2Ag after structural relaxation at the PBE-GGA level of DFT.

Results
calculated formation energy = -0.388 eV/atom

a b c (Å): 5.4836 5.4836 27.1900
angles (deg): 90.00 90.00 120.00
Last column: nearest neighbours and their distance in Å.
Space group R-3m (No. 166, hexagonal axes)
One atom of each set of equivalent atoms:
1 Pr 0.0000 0.0000 0.1219 [6 per cell]  1 Ag 3.31, 4 In 3.33-3.47, 3 Tl 3.39
2 Pr 0.0000 0.0000 0.3718 [6 per cell]  4 In 3.32-3.40, 3 Ag 3.33, 1 Tl 3.49
3 Tl 0.0000 0.0000 0.5000 [3 per cell]  8 Pr 3.39-3.49
4 In 0.0000 0.0000 0.2495 [6 per cell]  8 Pr 3.32-3.47
5 Ag 0.0000 0.0000 0.0000 [3 per cell]  8 Pr 3.31-3.33

---

No. 2
Computed, not measured: PmGdCdSi after structural relaxation at the PBE-GGA level of DFT.

Results
electronic total energy = -106.989 eV for the cell shown

a b c (Å): 7.3473 7.3473 7.3473
angles (deg): 90.00 90.00 90.00
Last column: nearest neighbours and their distance in Å.
Space group F-43m (No. 216)
One atom of each set of equivalent atoms:
1 Pm 0.0000 0.0000 0.0000 [4 per cell]  4 Cd 3.18, 4 Si 3.18
2 Gd 0.0000 0.0000 0.5000 [4 per cell]  4 Si 3.18, 4 Cd 3.18
3 Cd 0.2500 0.2500 0.2500 [4 per cell]  4 Gd 3.18, 4 Pm 3.18
4 Si 0.2500 0.2500 0.7500 [4 per cell]  4 Gd 3.18, 4 Pm 3.18

---

No. 3
Computed, not measured: NdThInSn after structural relaxation at the PBE-GGA level of DFT.

Results
calculated formation energy = -0.391 eV/atom

a b c (Å): 7.7632 7.7632 7.7632
angles (deg): 90.00 90.00 90.00
Last column: nearest neighbours and their distance in Å.
Space group F-43m (No. 216)
One atom of each set of equivalent atoms:
1 Nd 0.0000 0.0000 0.0000 [4 per cell]  4 In 3.36, 4 Sn 3.36
2 Th 0.0000 0.0000 0.5000 [4 per cell]  4 Sn 3.36, 4 In 3.36
3 In 0.2500 0.2500 0.2500 [4 per cell]  4 Th 3.36, 4 Nd 3.36
4 Sn 0.2500 0.2500 0.7500 [4 per cell]  4 Th 3.36, 4 Nd 3.36

---

No. 4
Computed, not measured: YPuSb after structural relaxation at the PBE-GGA level of DFT.

Results
electronic total energy = -52.621 eV for the cell shown

a b c (Å): 4.0444 4.0444 10.0464
angles (deg): 90.00 90.00 90.00
Last column: nearest neighbours and their distance in Å.
Space group I4mm (No. 107)
One atom of each set of equivalent atoms:
1 Y 0.0000 0.0000 0.0000 [2 per cell]  5 Pu 3.10-3.45, 4 Sb 3.22
2 Pu 0.0000 0.0000 0.3084 [2 per cell]  5 Y 3.10-3.45, 5 Sb 3.28-3.41
3 Sb 0.0000 0.0000 0.6477 [2 per cell]  5 Y 3.22-3.54, 5 Pu 3.28-3.41

---

> Number 4 is which compound?

YPuSb

---

Copy entry 2 word for word.
Computed, not measured: PmGdCdSi after structural relaxation at the PBE-GGA level of DFT.

Results
electronic total energy = -106.989 eV for the cell shown

a b c (Å): 7.3473 7.3473 7.3473
angles (deg): 90.00 90.00 90.00
Last column: nearest neighbours and their distance in Å.
Space group F-43m (No. 216)
One atom of each set of equivalent atoms:
1 Pm 0.0000 0.0000 0.0000 [4 per cell]  4 Cd 3.18, 4 Si 3.18
2 Gd 0.0000 0.0000 0.5000 [4 per cell]  4 Si 3.18, 4 Cd 3.18
3 Cd 0.2500 0.2500 0.2500 [4 per cell]  4 Gd 3.18, 4 Pm 3.18
4 Si 0.2500 0.2500 0.7500 [4 per cell]  4 Gd 3.18, 4 Pm 3.18